The following is a DFT calculation (PBE) of a relaxed structure of MnNb2HgSb.

The structure in extended XYZ format:
```
5
Lattice="-2.8027 -0.5215 -4.2119 -3.6023 -1.2876 2.5565 -1.4684 4.8548 0.3760" Properties=species:S:1:pos:R:3 pbc="T T T"
Mn -1.8011 -0.6438 1.2782
Hg -3.9367 1.5229 -0.6397
Nb -1.4013 -0.2608 -2.1059
Sb 0.0000 0.0000 0.0000
Nb -0.7342 2.4274 0.1880
```

Calculated values
Formation energy from raw total energies = 1.487 eV/atom
Space group = P4/mmm (123)
Density of states at the Fermi level = 9.67 states/eV per cell

---

The following is a DFT calculation (PBE) of a relaxed structure of RbMgSc3.

The structure in extended XYZ format:
```
5
Lattice="-1.9581 -4.8174 2.0223 4.9398 -1.0037 2.3921 -1.7015 2.6299 4.6173" Properties=species:S:1:pos:R:3 pbc="T T T"
Sc -0.8508 1.3150 2.3087
Rb 0.6401 -1.5956 4.5159
Mg 0.0000 0.0000 0.0000
Sc 2.4699 -0.5019 1.1960
Sc -0.9791 -2.4087 1.0111
```

Calculated values
Space group = Pm-3m (221)
Offset from the most stable computed form = 0.000 eV/f.u.
Density of states at the Fermi level = 9.08 states/eV per cell
Formation energy = 19.678 kcal/mol of atoms

---

The following is a DFT calculation (PBE) of a relaxed structure of ZrZnCSe2.

The structure in extended XYZ format:
```
5
Lattice="-3.1665 -3.2748 -0.7462 -0.4449 -0.7604 5.2251 -3.3363 3.1851 0.1794" Properties=species:S:1:pos:R:3 pbc="T T T"
Se -1.6682 1.5925 0.0897
Se -1.5832 -1.6374 -0.3731
Zn 0.0000 0.0000 0.0000
C -3.4738 -0.4251 2.3292
Zr -0.2224 -0.3802 2.6125
```

Calculated values
Formation energy from raw total energies = 1.649 eV/atom
Space group = P4/mmm (123)
Density of states at the Fermi level = 4.68 states/eV per cell

---

The following is a DFT calculation (PBE) of a relaxed structure of Pr6CoPd2.

The structure in extended XYZ format:
```
18
Lattice="6.7942 0.0000 0.0304 0.0000 7.5227 0.0000 0.3979 0.0000 10.3963" Properties=species:S:1:pos:R:3 pbc="T T T"
Pr 4.7506 1.3560 4.5578
Pd 3.9051 6.6662 2.7435
Co 3.3971 3.7613 0.0152
Pr 6.0969 7.2520 7.8334
Pd 0.7070 4.6178 7.9264
Pr 1.0952 0.2707 2.5933
Pr 2.6109 6.1616 9.6913
Pd 3.2869 0.8565 7.6832
Pd 6.4851 2.9049 2.5003
Pr 5.6396 5.1173 0.6860
Pr 4.5812 1.3611 0.7355
Pr 2.4415 6.1667 5.8689
Pr 1.3830 2.4002 5.9184
Pr 2.5008 4.0320 2.6201
Co 0.1989 0.0000 5.1982
Pr 4.6912 3.4907 7.8067
Pr 1.5524 2.4053 9.7408
Pr 5.8090 5.1224 4.5083
```

Calculated values
Space group = P2_1/c (14)
Density of states at the Fermi level = 20.40 states/eV per cell
Formation energy = -7.999 kcal/mol of atoms

---

The following is a DFT calculation (PBE) of a relaxed structure of Pm2Cu15Pd2.

The structure in extended XYZ format:
```
19
Lattice="6.5419 -0.0413 -0.0368 0.8078 6.4920 -0.0368 0.8078 0.7090 6.4532" Properties=species:S:1:pos:R:3 pbc="T T T"
Cu 0.4039 3.2460 -0.0184
Cu 6.0811 2.4742 2.2046
Cu 4.9153 4.3141 0.9620
Pd 0.8571 0.7522 0.6703
Cu 4.9153 1.4510 4.1751
Cu 0.8078 4.7887 1.8748
Cu 4.8530 1.8830 -0.0368
Cu 4.8530 0.1797 1.8748
Cu 0.4039 0.3545 3.2266
Cu 2.4967 0.4880 4.5417
Pm 2.7606 2.4229 2.1589
Cu 2.4967 4.5677 -0.0368
Cu 0.8078 2.4123 4.5417
Pm 5.3970 4.7368 4.2208
Cu 3.2422 5.7087 2.2046
Pd 7.3004 6.4075 5.7094
Cu 2.0764 4.6855 4.1751
Cu 3.2422 2.8456 5.4178
Cu 3.2710 -0.0206 -0.0184
```

Calculated values
Space group = R-3m (166)
Density of states at the Fermi level = 8.56 states/eV per cell
Formation energy = -4.006 kcal/mol of atoms

---

The following is a DFT calculation (PBE) of a relaxed structure of La3Sm6DyTm2.

The structure in extended XYZ format:
```
12
Lattice="6.2895 -0.0032 0.0056 -3.1460 5.4461 0.0056 -1.0622 -1.8392 11.8414" Properties=species:S:1:pos:R:3 pbc="T T T"
Tm -0.0003 3.6294 0.0056
La 1.0406 1.8019 5.9263
Sm -0.0146 3.6112 8.9748
Tm 3.1438 1.8135 0.0056
Sm 2.0959 -0.0075 2.8778
Sm -1.0540 1.8117 2.8778
Sm 3.1352 1.7921 8.9748
La -2.1018 3.6167 5.9263
La 4.1831 -0.0130 5.9263
Sm -0.0089 -0.0154 8.9688
Dy 0.0000 0.0000 0.0000
Sm 2.0902 3.6191 2.8838
```

Calculated values
Space group = C2/m (12)
Density of states at the Fermi level = 18.62 states/eV per cell
Formation energy = 0.549 kcal/mol of atoms

---

DFT total energy, record by record: -5.2594, -3.4580, -3.5543, -5.4767, -4.4542, -4.6964 eV per atom